No. 1
Compound: K2TiHg
Source: the Alexandria database
Functional: PBE-GGA
Structure: optimized geometry

The structure in POSCAR format:
```
K2TiHg
1.0
11.784 0.000 0.000
0.000 11.784 0.000
5.892 5.892 2.754
K Hg Ti
4 2 2
Cartesian
10.307 2.946 0.688
1.477 8.838 0.688
8.838 7.368 2.065
14.730 16.199 2.065
0.000 0.000 0.000
11.784 5.892 1.377
5.892 5.892 0.000
5.892 11.784 1.377
```

## Properties
**Electronic total energy**: -1.96 eV/atom

=====

No. 2
Compound: KTi2Hg
Source: the Alexandria database
Functional: PBE-GGA
Structure: optimized geometry

The structure in POSCAR format:
```
KTi2Hg
1.0
-2.065 -3.603 -1.382
2.943 -2.484 2.079
-5.817 -2.913 9.358
K Hg Ti
2 2 4
Cartesian
0.439 -3.043 0.349
-1.218 -4.220 5.893
0.000 0.000 0.000
-3.721 -4.780 4.163
-2.650 -3.767 1.553
-1.665 -5.858 2.267
-4.422 -4.139 7.005
-6.148 -5.355 5.824
```

## Properties
**Electronic total energy**: -3.46 eV/atom

=====

No. 3
Compound: KTi3Hg
Source: the Alexandria database
Functional: PBE-GGA
Structure: optimized geometry

The structure in POSCAR format:
```
KTi3Hg
1.0
-4.962 0.251 -1.810
-1.199 -4.400 2.675
-1.379 2.921 4.186
K Hg Ti
1 1 3
Cartesian
-3.770 -0.614 2.526
0.000 0.000 0.000
-0.599 -2.200 1.338
-0.689 1.460 2.093
-2.481 0.126 -0.905
```

## Properties
**Distance to the lowest polymorph of the same formula**: 0 meV/atom
**Electronic total energy**: -3.84 eV/atom

=====

No. 4
Compound: KTl2Hg16
Source: the Alexandria database
Functional: PBE-GGA
Structure: optimized geometry

The structure in POSCAR format:
```
KTl2Hg16
1.0
8.478 1.003 2.072
1.852 8.334 2.072
1.109 1.003 8.657
K Tl Hg
1 2 16
Cartesian
10.309 9.318 11.536
7.887 7.128 8.826
3.533 3.193 3.953
6.164 1.016 4.133
1.355 3.297 6.588
3.924 6.030 2.085
1.632 6.030 4.133
6.395 3.297 2.085
3.416 1.016 6.588
5.493 7.306 6.148
7.823 4.729 6.148
5.232 4.729 8.462
6.261 2.200 7.007
2.820 6.008 7.007
6.647 6.008 3.587
1.246 3.774 1.395
3.880 0.860 1.395
0.951 0.860 4.012
0.823 0.744 0.921
```

## Properties
**Electronic total energy**: -0.60 eV/atom

=====

No. 5
Compound: K2Tl2Hg15
Source: the Alexandria database
Functional: PBE-GGA
Structure: optimized geometry

The structure in POSCAR format:
```
K2Tl2Hg15
1.0
-6.060 5.694 -1.873
-6.204 -1.435 5.666
0.872 6.152 5.834
K Tl Hg
2 2 15
Cartesian
-3.589 3.280 3.032
-7.803 7.131 6.594
-1.091 0.997 0.922
-10.301 9.414 8.705
-3.030 2.847 -0.937
0.436 3.076 2.917
-3.102 -0.717 2.833
-4.095 0.827 5.716
-6.103 3.569 0.374
-1.194 6.016 3.537
-6.161 0.690 3.418
-3.994 5.830 0.424
-1.237 3.891 5.784
-4.232 3.798 6.705
-7.333 3.593 3.257
-4.168 6.987 3.333
-7.160 6.613 2.922
-4.059 6.818 6.369
-7.224 3.424 6.294
```

## Properties
**Electronic total energy**: -0.71 eV/atom

=====

No. 6
Compound: KTl2Hg8
Source: the Alexandria database
Functional: PBE-GGA
Structure: optimized geometry

The structure in POSCAR format:
```
KTl2Hg8
1.0
5.836 0.636 0.000
0.944 8.812 0.000
0.472 4.406 7.374
K Tl Hg
1 2 8
Cartesian
2.918 0.318 0.000
0.472 4.406 3.622
0.944 8.812 3.752
5.588 2.698 1.504
6.060 7.103 5.870
2.072 3.702 0.000
3.862 9.129 4.585
3.390 4.724 2.789
4.707 5.745 0.000
1.191 6.750 1.504
1.663 11.155 5.870
```

## Properties
**Distance to the lowest polymorph of the same formula**: 33 meV/atom
**Electronic total energy**: -0.80 eV/atom

=====

No. 7
Compound: KTl8Hg2
Source: the Alexandria database
Functional: PBE-GGA
Structure: optimized geometry

The structure in POSCAR format:
```
KTl8Hg2
1.0
5.529 0.000 -1.589
-1.059 7.996 -3.684
-0.588 -0.998 8.367
K Tl Hg
1 8 2
Cartesian
2.765 0.000 -0.795
2.690 3.508 -1.056
1.254 0.162 4.361
0.412 1.591 1.432
-0.557 5.716 -1.936
3.471 5.406 1.661
2.629 6.835 -1.268
1.193 3.489 4.149
4.439 1.282 5.029
0.311 4.836 1.082
3.571 2.161 2.011
```

## Properties
**Distance to the lowest polymorph of the same formula**: 0 meV/atom
**Electronic total energy**: -1.90 eV/atom

=====

No. 8
Compound: KTl14Hg
Source: the Alexandria database
Functional: PBE-GGA
Structure: optimized geometry

The structure in POSCAR format:
```
KTl14Hg
1.0
7.124 -0.524 0.000
-3.274 6.349 0.000
0.000 0.000 11.363
K Tl Hg
1 14 1
Cartesian
-2.947 6.133 5.681
-0.990 4.839 0.000
4.160 1.435 0.000
-1.339 2.941 5.681
0.607 1.727 0.000
0.620 5.904 5.681
2.499 4.590 0.000
2.304 0.596 8.598
2.304 0.596 2.765
4.204 3.472 8.598
4.204 3.472 2.765
0.657 3.751 8.396
0.657 3.751 2.966
5.758 0.379 8.606
5.758 0.379 2.757
2.346 2.634 5.681
```

## Properties
**Electronic total energy**: -2.17 eV/atom

=====

No. 9
Compound: K2Tl4Hg9
Source: the Alexandria database
Functional: PBE-GGA
Structure: optimized geometry

The structure in POSCAR format:
```
K2Tl4Hg9
1.0
5.269 0.000 0.000
-2.635 4.563 0.000
0.000 0.000 19.611
K Tl Hg
2 4 9
Cartesian
0.000 3.042 14.869
2.635 1.521 4.742
0.000 3.042 7.542
2.635 1.521 12.069
2.635 1.521 17.617
0.000 3.042 1.993
0.000 0.000 6.418
0.000 0.000 13.193
0.000 0.000 16.642
0.000 0.000 2.969
0.000 3.042 10.951
2.635 1.521 8.660
2.635 1.521 1.066
0.000 3.042 18.545
0.000 0.000 9.805
```

## Properties
**Electronic total energy**: -1.05 eV/atom

=====

No. 10
Compound: KTl2Hg
Source: the Alexandria database
Functional: PBE-GGA
Structure: optimized geometry

The structure in POSCAR format:
```
KTl2Hg
1.0
6.342 0.144 0.000
2.377 5.881 0.000
-4.359 -3.013 3.487
K Tl Hg
1 2 1
Cartesian
3.171 0.072 1.744
0.000 0.000 0.000
4.359 3.013 0.000
1.188 2.941 1.744
```

## Properties
**Distance to the lowest polymorph of the same formula**: 59 meV/atom
**Electronic total energy**: -1.59 eV/atom

=====

No. 11
Compound: KTl3Hg
Source: the Alexandria database
Functional: PBE-GGA
Structure: optimized geometry

The structure in POSCAR format:
```
KTl3Hg
1.0
5.900 0.000 0.000
0.000 5.900 0.000
0.000 0.000 5.900
K Tl Hg
1 3 1
Cartesian
2.950 2.950 2.950
0.000 2.950 0.000
0.000 0.000 2.950
2.950 0.000 0.000
0.000 0.000 0.000
```

## Properties
**Distance to the lowest polymorph of the same formula**: 232 meV/atom
**Electronic total energy**: -1.56 eV/atom

=====

No. 12
Compound: KTl9Hg2
Source: the Alexandria database
Functional: PBE-GGA
Structure: optimized geometry

The structure in POSCAR format:
```
KTl9Hg2
1.0
-7.301 3.949 2.672
-8.349 -6.192 0.566
-1.497 -0.109 10.302
K Tl Hg
2 18 4
Cartesian
-3.650 1.975 1.336
-6.748 -2.163 6.102
-10.399 -0.189 7.438
0.000 0.000 0.000
-16.006 -1.879 10.185
-5.480 1.874 4.943
-7.254 1.470 7.809
-10.583 -3.449 5.983
-13.223 -2.157 8.400
-3.234 -0.568 4.887
-8.791 -5.451 4.036
-4.016 0.751 7.916
-11.539 -0.662 10.792
-4.918 -2.063 2.495
-4.642 -1.768 9.930
-8.166 -2.932 2.021
-14.322 -0.384 12.577
-7.164 0.379 2.550
-9.957 -0.930 3.969
-7.879 -1.049 9.823
-9.598 1.825 10.206
-13.025 -1.216 5.338
-8.850 1.880 5.055
-10.122 -3.245 9.153
```

## Properties
**Electronic total energy**: -1.95 eV/atom

=====

No. 13
Compound: K3Tl2Hg3
Source: the Alexandria database
Functional: PBE-GGA
Structure: optimized geometry

The structure in POSCAR format:
```
K3Tl2Hg3
1.0
-0.919 5.153 0.837
-5.723 -3.449 -1.834
-3.299 -3.253 16.414
K Tl Hg
6 4 6
Cartesian
-6.962 0.570 5.638
-3.906 -3.034 14.398
-6.034 1.485 1.018
-2.978 -2.119 9.779
-2.843 1.543 4.165
-7.098 -3.093 11.252
-6.959 -0.885 14.597
-4.053 -1.722 6.154
-5.887 0.173 9.263
-2.981 -0.665 0.820
-3.300 0.894 7.659
-8.023 -3.807 14.638
-1.917 2.258 0.778
-6.640 -2.444 7.758
-4.928 -1.392 3.164
-5.012 -0.157 12.253
```

## Properties
**Electronic total energy**: -1.31 eV/atom

=====

No. 14
Compound: K2Tl12Hg7
Source: the Alexandria database
Functional: PBE-GGA
Structure: optimized geometry

The structure in POSCAR format:
```
K2Tl12Hg7
1.0
5.175 0.000 0.000
0.000 10.579 -6.108
0.000 0.000 12.216
K Tl Hg
2 12 7
Cartesian
2.588 0.000 0.000
0.000 7.053 0.000
2.588 9.918 2.111
2.588 7.448 -3.537
2.588 3.793 1.426
2.588 2.735 8.152
2.588 5.693 5.772
2.588 2.152 4.400
0.000 0.393 6.295
0.000 5.255 8.728
0.000 4.932 3.301
0.000 8.320 3.660
0.000 9.589 -2.927
0.000 3.250 -0.732
0.000 3.526 6.108
0.000 0.939 9.541
0.000 7.793 6.632
0.000 1.847 2.151
2.588 6.765 2.626
2.588 9.472 -1.064
2.588 4.923 -1.563
```

## Properties
**Electronic total energy**: -1.62 eV/atom

=====

No. 15
Compound: KTlHg
Source: the Alexandria database
Functional: PBE-GGA
Structure: optimized geometry

The structure in POSCAR format:
```
KTlHg
1.0
-6.584 1.022 -0.567
-4.655 -0.303 4.791
6.004 2.488 -1.574
K Tl Hg
1 1 1
Cartesian
-3.787 0.242 1.423
-7.142 0.457 2.684
-0.310 0.020 0.117
```

## Properties
**Distance to the lowest polymorph of the same formula**: 66 meV/atom
**Electronic total energy**: -1.39 eV/atom

=====

No. 16
Compound: KTl2Hg
Source: the Alexandria database
Functional: PBE-GGA
Structure: optimized geometry

The structure in POSCAR format:
```
KTl2Hg
1.0
6.786 0.008 0.008
5.668 3.732 0.008
2.473 0.743 5.193
K Tl Hg
1 2 1
Cartesian
3.732 1.121 1.302
2.797 0.840 5.030
7.139 2.144 2.768
11.195 3.362 3.907
```

## Properties
**Distance to the lowest polymorph of the same formula**: 7 meV/atom
**Electronic total energy**: -1.65 eV/atom

=====

No. 17
Compound: KTlHg2
Source: the Alexandria database
Functional: PBE-GGA
Structure: optimized geometry

The structure in POSCAR format:
```
KTlHg2
1.0
5.551 0.000 0.000
2.776 4.808 0.000
2.776 1.603 4.533
Hg K Tl
2 1 1
Cartesian
0.000 0.000 0.000
2.776 1.603 1.133
5.551 3.205 2.266
8.327 4.808 3.399
```

## Properties
**Distance to the lowest polymorph of the same formula**: 62 meV/atom
**Electronic total energy**: -1.12 eV/atom

=====

No. 18
Compound: KTlHg2
Source: the Alexandria database
Functional: PBE-GGA
Structure: optimized geometry

The structure in POSCAR format:
```
KTlHg2
1.0
-4.710 -4.466 0.437
-1.150 -6.397 0.283
-0.909 -2.087 5.163
K Tl Hg
1 1 2
Cartesian
-3.358 -6.428 2.971
-1.829 -3.479 1.335
-0.940 -2.143 5.145
-4.936 -9.462 4.538
```

## Properties
**Distance to the lowest polymorph of the same formula**: 33 meV/atom
**Electronic total energy**: -1.15 eV/atom

=====

No. 19
Compound: KTl8Hg4
Source: the Alexandria database
Functional: PBE-GGA
Structure: optimized geometry

The structure in POSCAR format:
```
KTl8Hg4
1.0
-4.750 3.503 1.728
-5.595 1.021 -6.509
-6.370 -4.847 3.263
K Tl Hg
1 8 4
Cartesian
0.000 0.000 0.000
-6.094 -2.753 -0.225
-5.872 -1.073 -3.021
-9.390 -1.210 -1.471
-7.325 0.887 -0.048
-8.133 1.538 -3.590
-8.582 -1.861 2.071
-3.893 0.210 -0.183
-12.822 -0.532 -1.336
-3.185 -2.424 1.631
-5.560 -0.672 2.495
-2.798 0.511 -3.255
-5.172 2.262 -2.391
```

## Properties
**Distance to the lowest polymorph of the same formula**: 0 meV/atom
**Electronic total energy**: -1.67 eV/atom

=====

No. 20
Compound: K5TlHg6
Source: the Alexandria database
Functional: PBE-GGA
Structure: optimized geometry

The structure in POSCAR format:
```
K5TlHg6
1.0
5.761 0.002 -1.611
-4.338 8.101 -4.441
-0.269 -1.425 10.103
K Tl Hg
5 1 6
Cartesian
1.871 0.310 6.651
-1.665 1.845 5.111
0.577 3.339 2.026
-2.941 4.832 0.550
-0.717 6.368 -2.600
0.000 0.000 0.000
0.899 -0.052 3.187
1.544 3.712 5.472
3.122 1.363 0.019
-1.968 5.315 4.032
-0.390 2.966 -1.421
0.255 6.730 0.865
```

## Properties
**Electronic total energy**: -1.01 eV/atom